Compound: BaDy2Mg
Source: the Alexandria database
Functional: PBE-GGA
Structure: relaxed

For the excess energy over the best structure of this formula in the dataset, the calculation gives 15.8 kJ/mol of atoms. For the total energy, the calculation gives -0.10696 hartree per atom. The magnetic moment is 0.06 μB/atom. The energy relative to the elements comes out at 0.270 eV/atom.

Unit cell a=3.5771 b=3.5771 c=37.4751 alpha=90.00 beta=90.00 gamma=120.00
Space group R-3m (No. 166, hexagonal axes)
One atom of each set of equivalent atoms:
Ba: 0.0000 0.0000 0.0000
Dy: 0.0000 0.0000 0.0974
Mg: 0.0000 0.0000 0.5000